Gd2GeS | PBE | optimized geometry

The structure belongs to space group R-3m (No. 166, hexagonal axes); the cell edges are 4.0939, 4.0939 and 20.1683 Å and the angles 90.00°, 90.00° and 120.00°. Symmetry generates all atoms from Gd at (0.0000, 0.0000, 0.2503), Ge at (0.0000, 0.0000, 0.5000) and S at (0.0000, 0.0000, 0.0000).

Its energy relative to the elements, uncorrected is -1.453 eV/atom. Its total energy is -42.72 eV/f.u. The theoretical density is 7.1 g/cm3.